Version a
The following is a DFT calculation (PBE) of a relaxed CoTe2Os crystal.

The structure in POSCAR format:
```
CoTe2Os
1.0
3.1423 0.0000 0.0000
0.0000 3.7163 0.0000
0.0000 0.0000 7.3530
Co Te Os
1 2 1
direct
0.0000 0.0000 0.0000 Co
0.0000 0.0000 0.3606 Te
0.5000 0.5000 0.8408 Te
0.5000 0.5000 0.1939 Os
```

Properties
- symmetry = Pmm2, No. 25


Version b
The following is a DFT calculation (PBE) of a relaxed CoTe2Os crystal.

The structure in POSCAR format:
```
CoTe2Os
1.0
1.6268 -2.7540 0.0000
1.6268 2.7540 0.0000
0.0000 0.0000 8.5190
Co Te Os
1 2 1
direct
0.0000 0.0000 0.0000 Co
0.5000 0.5000 0.2422 Te
0.5000 0.5000 0.7578 Te
0.0000 0.0000 0.5000 Os
```

Properties
- symmetry = Cmmm, No. 65


Stability, highest: version a


Version a
The following is a DFT calculation (PBE) of a relaxed CoTe2Os crystal.

The structure in POSCAR format:
```
CoTe2Os
1.0
-1.6254 1.8406 7.4952
1.6254 -1.8406 7.4952
1.6254 1.8406 -7.4952
Co Te Os
1 2 1
direct
0.0000 0.0000 0.0000 Co
0.5533 0.5533 0.0000 Te
0.8020 0.3020 0.5000 Te
0.3928 0.8928 0.5000 Os
```

Properties
- symmetry = Imm2, No. 44


Version b
The following is a DFT calculation (PBE) of a relaxed CoTe2Os crystal.

The structure in POSCAR format:
```
CoTe2Os
1.0
0.0000 3.3076 3.3076
3.3076 0.0000 3.3076
3.3076 3.3076 0.0000
Co Te Os
1 2 1
direct
0.0000 0.0000 0.0000 Co
0.2500 0.2500 0.2500 Te
0.7500 0.7500 0.7500 Te
0.5000 0.5000 0.5000 Os
```

Properties
- symmetry = Fm-3m, No. 225


Version c
The following is a DFT calculation (PBE) of a relaxed CoTe2Os crystal.

The structure in POSCAR format:
```
CoTe2Os
1.0
3.9440 0.0000 0.0000
0.0000 3.9438 0.0000
-0.0090 0.0000 6.2781
Co Te Os
1 2 1
direct
0.0000 0.0000 0.0000 Co
0.0007 0.5000 0.2589 Te
0.4994 0.0000 0.7413 Te
0.5001 0.5000 0.0001 Os
```

Properties
- symmetry = Pm, No. 6


Version d
The following is a DFT calculation (PBE) of a relaxed CoTe2Os crystal.

The structure in POSCAR format:
```
CoTe2Os
1.0
3.2394 0.0000 0.0000
0.0000 3.2394 0.0000
0.0000 0.0000 6.8157
Co Te Os
1 2 1
direct
0.0000 0.0000 0.0000 Co
0.5000 0.5000 0.2439 Te
0.5000 0.5000 0.7561 Te
0.0000 0.0000 0.5000 Os
```

Properties
- symmetry = P4/mmm, No. 123


Stability, highest: version c


Version a
The following is a DFT calculation (PBE) of a relaxed ThCo2Os crystal.

The structure in POSCAR format:
```
ThCo2Os
1.0
2.5275 1.4593 8.6877
-2.5275 1.4593 8.6877
0.0000 -2.9185 8.6877
Th Co Os
3 6 3
direct
0.0000 0.0000 0.0000 Th
0.1355 0.1355 0.1355 Th
0.8645 0.8645 0.8645 Th
0.0854 0.5781 0.5781 Co
0.4219 0.4219 0.9146 Co
0.4219 0.9146 0.4219 Co
0.5781 0.0854 0.5781 Co
0.5781 0.5781 0.0854 Co
0.9146 0.4219 0.4219 Co
0.3321 0.3321 0.3321 Os
0.5000 0.5000 0.5000 Os
0.6679 0.6679 0.6679 Os
```

Properties
- symmetry = R-3m, No. 166


Version b
The following is a DFT calculation (PBE) of a relaxed ThCo2Os crystal.

The structure in POSCAR format:
```
ThCo2Os
1.0
2.1019 1.2135 4.6779
-2.1019 1.2135 4.6779
0.0000 -2.4271 4.6779
Th Co Os
1 2 1
direct
0.0000 0.0000 0.0000 Th
0.1934 0.1934 0.1934 Co
0.8066 0.8066 0.8066 Co
0.5000 0.5000 0.5000 Os
```

Properties
- symmetry = R-3m, No. 166


Stability, highest: version a


Version a
The following is a DFT calculation (PBE) of a relaxed Th3CoOs crystal.

The structure in POSCAR format:
```
Th3CoOs
1.0
7.0923 -2.1237 0.0000
7.0923 2.1237 0.0000
-2.4161 0.0000 8.9610
Th Co Os
6 2 2
direct
0.0409 0.0409 0.3129 Th
0.3114 0.3114 0.3783 Th
0.3599 0.3599 0.9881 Th
0.6401 0.6401 0.0119 Th
0.6886 0.6886 0.6217 Th
0.9591 0.9591 0.6871 Th
0.3288 0.3288 0.6830 Co
0.6712 0.6712 0.3170 Co
0.1596 0.1596 0.8126 Os
0.8404 0.8404 0.1874 Os
```

Properties
- symmetry = C2/m, No. 12


Version b
The following is a DFT calculation (PBE) of a relaxed Th3CoOs crystal.

The structure in POSCAR format:
```
Th3CoOs
1.0
3.9345 0.0000 0.0000
1.9601 7.4259 0.0000
0.0042 0.5883 8.3087
Th Co Os
6 2 2
direct
0.0447 0.4112 0.3101 Th
0.2321 0.0356 0.6843 Th
0.3930 0.7141 0.0453 Th
0.6070 0.2859 0.9547 Th
0.7679 0.9644 0.3157 Th
0.9553 0.5888 0.6899 Th
0.2070 0.0852 0.0813 Co
0.7930 0.9148 0.9187 Co
0.3942 0.7111 0.4536 Os
0.6058 0.2888 0.5464 Os
```

Properties
- symmetry = P-1, No. 2


Stability, highest: version b


Version a
The following is a DFT calculation (PBE) of a relaxed TiCoOs3 crystal.

The structure in POSCAR format:
```
TiCoOs3
1.0
4.4747 0.0000 0.0000
0.0000 4.4747 0.0000
0.0000 0.0000 4.4747
Ti Co Os
1 1 3
direct
0.0000 0.0000 0.0000 Ti
0.5000 0.5000 0.5000 Co
0.0000 0.0000 0.5000 Os
0.0000 0.5000 0.0000 Os
0.5000 0.0000 0.0000 Os
```

Properties
- symmetry = Pm-3m, No. 221


Version b
The following is a DFT calculation (PBE) of a relaxed TiCoOs3 crystal.

The structure in POSCAR format:
```
TiCoOs3
1.0
4.3930 0.0000 0.0000
0.0000 4.3930 0.0000
0.0000 0.0000 4.3930
Ti Co Os
1 1 3
direct
0.0000 0.0000 0.0000 Ti
0.5000 0.5000 0.5000 Co
0.0000 0.5000 0.5000 Os
0.5000 0.0000 0.5000 Os
0.5000 0.5000 0.0000 Os
```

Properties
- symmetry = Pm-3m, No. 221


Stability, highest: version b


Version a
The following is a DFT calculation (PBE) of a relaxed TiCo2Os2 crystal.

The structure in POSCAR format:
```
TiCo2Os2
1.0
7.1945 0.0000 0.0000
0.0000 7.1945 0.0000
0.0000 0.0000 2.6384
Ti Co Os
2 4 4
direct
0.0000 0.0000 0.0000 Ti
0.5000 0.5000 0.0000 Ti
0.1704 0.3296 0.5000 Co
0.3296 0.8296 0.5000 Co
0.6704 0.1704 0.5000 Co
0.8296 0.6704 0.5000 Co
0.1272 0.6272 0.0000 Os
0.3728 0.1272 0.0000 Os
0.6272 0.8728 0.0000 Os
0.8728 0.3728 0.0000 Os
```

Properties
- symmetry = P4/mbm, No. 127


Version b
The following is a DFT calculation (PBE) of a relaxed TiCo2Os2 crystal.

The structure in POSCAR format:
```
TiCo2Os2
1.0
7.1789 0.0000 0.0000
0.0000 7.1789 0.0000
0.0000 0.0000 2.6001
Ti Co Os
2 4 4
direct
0.0000 0.0000 0.0000 Ti
0.5000 0.5000 0.0000 Ti
0.1172 0.3828 0.0000 Co
0.3828 0.8828 0.0000 Co
0.6172 0.1172 0.0000 Co
0.8828 0.6172 0.0000 Co
0.1789 0.6789 0.5000 Os
0.3211 0.1789 0.5000 Os
0.6789 0.8211 0.5000 Os
0.8211 0.3211 0.5000 Os
```

Properties
- symmetry = P4/mbm, No. 127


Stability, highest: version b